Density functional theory data (GGA-PBE) for a relaxed Ca3HPt8 crystal.

a b c (Å): 5.4471 5.4471 9.3452
angles (deg): 73.06 73.06 60.00
Last column: nearest neighbours and their distance in Å.
Positions (direct):
1 Ca 0.6183 0.6183 0.1452  12 Pt 3.16-3.20, 4 Ca 3.46-3.47
2 Ca 0.0065 0.0065 0.9805  9 Pt 3.02-3.27
3 Ca 0.4870 0.4870 0.5390  12 Pt 3.03-3.29, 3 H 3.29
4 H 0.1901 0.1901 0.4297  3 Pt 1.83
5 Pt 0.5564 0.0539 0.8333  6 Pt 2.69-2.74
6 Pt 0.0530 0.5640 0.3299  1 H 1.83
7 Pt 0.5564 0.5564 0.8333  6 Pt 2.69-2.74
8 Pt 0.0530 0.0530 0.3299  1 H 1.83
9 Pt 0.8050 0.8050 0.5850  6 Pt 2.69-2.72
10 Pt 0.3063 0.3063 0.0811  6 Pt 2.69-2.72
11 Pt 0.0539 0.5564 0.8333  6 Pt 2.69-2.74
12 Pt 0.5640 0.0530 0.3299  1 H 1.83

Values from the calculation:
The calculation puts the density at 12.35 g/cm³. Its final energy is -5.53 eV per atom. As for the space-group type: R3m, No. 160. The total magnetization comes out at 0.0000 μB/atom.